{"formula": "CsTlFe2", "functional": "GGA-PBE", "state": "optimized geometry", "lattice": [[0.000, 3.667, 3.667], [3.667, 0.000, 3.667], [3.667, 3.667, 0.000]], "species": ["Cs", "Tl", "Fe", "Fe"], "frac_coords": [[0.000, 0.000, 0.000], [0.500, 0.500, 0.500], [0.250, 0.250, 0.250], [0.750, 0.750, 0.750]], "formation_enthalpy_0k_kj_per_mol_atoms": 131.7, "sg": "Fm-3m (225)", "density_g_cm3": 7.56, "volume_a3_per_atom": 24.65, "polymorph_energy_ev_per_fu": 0.00, "total_energy_ev_per_atom": -3.6713}